(1)
{"formula": "Ca2PbBr", "functional": "PBE", "state": "optimized geometry", "lattice_angstrom": [[-2.893, -2.657, 1.672], [-1.233, -3.459, -2.178], [4.725, -6.448, 3.381]], "species": ["Ca", "Ca", "Pb", "Br"], "frac_coords": [[0.080, 0.080, 0.759], [0.256, 0.256, 0.233], [0.668, 0.668, 0.997], [0.496, 0.496, 0.511]], "e_above_lowest_polymorph_mev_per_atom": 105, "n_ef_per_ev_atom": 0.353, "final_energy_ev_per_atom": -3.2591, "e_form_raw_mev_per_atom": -913}

---

(2)
{"formula": "Ca2PbBr", "functional": "PBE", "state": "optimized geometry", "lattice_angstrom": [[-5.292, -6.607, -2.519], [4.608, -0.065, 3.351], [-1.975, -1.448, 2.710]], "species": ["Pb", "Br", "Ca", "Ca"], "frac_coords": [[0.000, 0.500, 0.500], [0.500, 0.500, 0.000], [0.500, 0.000, 0.500], [0.000, 0.000, 0.000]], "e_above_lowest_polymorph_mev_per_atom": 105, "n_ef_per_ev_atom": 0.596, "final_energy_ev_per_atom": -3.2592, "e_form_raw_mev_per_atom": -913}

---

What did the first record say?
{"formula": "Ca2PbBr", "functional": "PBE", "state": "optimized geometry", "lattice_angstrom": [[-2.893, -2.657, 1.672], [-1.233, -3.459, -2.178], [4.725, -6.448, 3.381]], "species": ["Ca", "Ca", "Pb", "Br"], "frac_coords": [[0.080, 0.080, 0.759], [0.256, 0.256, 0.233], [0.668, 0.668, 0.997], [0.496, 0.496, 0.511]], "e_above_lowest_polymorph_mev_per_atom": 105, "n_ef_per_ev_atom": 0.353, "final_energy_ev_per_atom": -3.2591, "e_form_raw_mev_per_atom": -913}